The following is a PBE-GGA calculation of an optimized crystal structure of LaReMo2, from Alexandria via LeMat-Bulk.

Calculated values
Crystal system = monoclinic
ΔH_f (0 K) = 0.4633 eV/atom
Energy above the most stable polymorph in this dataset = 80 meV per atom
Density of states at the Fermi level = 0.87 states/eV per atom

Unit cell a=4.270 b=2.932 c=6.395 alpha=81.62 beta=90.00 gamma=90.00
Sites, in units of the cell vectors:
La1 0.500 0.750 0.750
Re1 0.500 0.250 0.250
Mo1 0.000 0.973 0.068
Mo2 0.000 0.527 0.432